[1]
A relaxed structure of LiRe2Tc, computed with PBE-GGA.

Summary:
* total magnetization: 0.0000 μB per atom
* E above lowest polymorph: 109.5 meV/atom
* calculated formation energy: 281 meV/atom

```
data_LiRe2Tc
_space_group_name_H-M_alt 'C m m 2'
_space_group_IT_number 35
_cell_length_a 2.909
_cell_length_b 4.466
_cell_length_c 9.231
_cell_angle_alpha 90.00
_cell_angle_beta 90.00
_cell_angle_gamma 90.00
loop_
_space_group_symop_operation_xyz
'x,y,z'
'-x,-y,z'
'-x,y,z'
'x,-y,z'
'x+1/2,y+1/2,z'
'-x+1/2,-y+1/2,z'
'-x+1/2,y+1/2,z'
'x+1/2,-y+1/2,z'
loop_
_atom_site_label
_atom_site_fract_x
_atom_site_fract_y
_atom_site_fract_z
_atom_site_occupancy
Li1 0.000 0.000 0.000 1
Re1 0.000 0.000 0.501 1
Re2 0.000 0.500 0.256 1
Tc1 0.000 0.500 0.744 1
```


[2]
A relaxed structure of Li2ReTc, computed with PBE-GGA.

Summary:
* total magnetization: 0.0000 μB per atom
* E above lowest polymorph: 134.8 meV/atom
* calculated formation energy: 329 meV/atom

```
data_Li2ReTc
_space_group_name_H-M_alt 'I 4/m m m'
_space_group_IT_number 139
_space_group_name_Hall '-I 4 2'
_cell_length_a 3.549
_cell_length_b 3.549
_cell_length_c 9.096
_cell_angle_alpha 90.00
_cell_angle_beta 90.00
_cell_angle_gamma 90.00
loop_
_atom_site_label
_atom_site_fract_x
_atom_site_fract_y
_atom_site_fract_z
_atom_site_occupancy
Li1 0.000 0.500 0.250 1
Re1 0.000 0.000 0.000 1
Tc1 0.000 0.000 0.500 1
```


[3]
A relaxed structure of LiRe2Tc, computed with PBE-GGA.

Summary:
* total magnetization: 0.0000 μB per atom
* E above lowest polymorph: 6.2 meV/atom
* calculated formation energy: 178 meV/atom

```
data_LiRe2Tc
_space_group_name_H-M_alt 'P 1 m 1'
_space_group_IT_number 6
_cell_length_a 2.620
_cell_length_b 4.305
_cell_length_c 5.112
_cell_angle_alpha 90.00
_cell_angle_beta 98.98
_cell_angle_gamma 90.00
loop_
_space_group_symop_operation_xyz
'x,y,z'
'x,-y,z'
loop_
_atom_site_label
_atom_site_fract_x
_atom_site_fract_y
_atom_site_fract_z
_atom_site_occupancy
Li1 0.000 0.000 0.000 1
Re1 0.494 0.000 0.500 1
Re2 0.729 0.500 0.245 1
Tc1 0.272 0.500 0.768 1
```


[4]
A relaxed structure of LiRe2Tc, computed with PBE-GGA.

Summary:
* total magnetization: 0.0001 μB per atom
* E above lowest polymorph: 169.0 meV/atom
* calculated formation energy: 341 meV/atom

```
data_LiRe2Tc
_space_group_name_H-M_alt 'I 4/m m m'
_space_group_IT_number 139
_space_group_name_Hall '-I 4 2'
_cell_length_a 3.772
_cell_length_b 3.772
_cell_length_c 7.921
_cell_angle_alpha 90.00
_cell_angle_beta 90.00
_cell_angle_gamma 90.00
loop_
_atom_site_label
_atom_site_fract_x
_atom_site_fract_y
_atom_site_fract_z
_atom_site_occupancy
Li1 0.000 0.000 0.000 1
Re1 0.000 0.500 0.250 1
Tc1 0.000 0.000 0.500 1
```


[5]
A relaxed structure of Li2ReTc, computed with PBE-GGA.

Summary:
* total magnetization: 0.0000 μB per atom
* E above lowest polymorph: 98.3 meV/atom
* calculated formation energy: 292 meV/atom

```
data_Li2ReTc
_space_group_name_H-M_alt 'P 1 2/m 1'
_space_group_IT_number 10
_cell_length_a 2.547
_cell_length_b 4.673
_cell_length_c 4.924
_cell_angle_alpha 90.00
_cell_angle_beta 101.14
_cell_angle_gamma 90.00
loop_
_space_group_symop_operation_xyz
'x,y,z'
'-x,-y,-z'
'-x,y,-z'
'x,-y,z'
loop_
_atom_site_label
_atom_site_fract_x
_atom_site_fract_y
_atom_site_fract_z
_atom_site_occupancy
Li1 0.243 0.000 0.248 1
Re1 0.500 0.500 0.000 1
Tc1 0.000 0.500 0.500 1
```


[6]
A relaxed structure of LiRe2Tc, computed with PBE-GGA.

Summary:
* total magnetization: 0.0000 μB per atom
* E above lowest polymorph: 180.3 meV/atom
* calculated formation energy: 352 meV/atom

```
data_LiRe2Tc
_space_group_name_H-M_alt 'P 4 m m'
_space_group_IT_number 99
_cell_length_a 2.726
_cell_length_b 2.726
_cell_length_c 7.919
_cell_angle_alpha 90.00
_cell_angle_beta 90.00
_cell_angle_gamma 90.00
loop_
_space_group_symop_operation_xyz
'x,y,z'
'-y,x,z'
'-x,-y,z'
'y,-x,z'
'-x,y,z'
'y,x,z'
'x,-y,z'
'-y,-x,z'
loop_
_atom_site_label
_atom_site_fract_x
_atom_site_fract_y
_atom_site_fract_z
_atom_site_occupancy
Li1 0.000 0.000 0.000 1
Re1 0.000 0.000 0.503 1
Re2 0.500 0.500 0.256 1
Tc1 0.500 0.500 0.742 1
```


[7]
A relaxed structure of LiReTc3, computed with PBE-GGA.

Summary:
* total magnetization: 0.5275 μB per atom
* E above lowest polymorph: 449.8 meV/atom
* calculated formation energy: 1523 meV/atom

```
data_LiReTc3
_space_group_name_H-M_alt 'P m -3 m'
_space_group_IT_number 221
_space_group_name_Hall '-P 4 2 3'
_cell_length_a 4.734
_cell_length_b 4.734
_cell_length_c 4.734
_cell_angle_alpha 90.00
_cell_angle_beta 90.00
_cell_angle_gamma 90.00
loop_
_atom_site_label
_atom_site_fract_x
_atom_site_fract_y
_atom_site_fract_z
_atom_site_occupancy
Li1 0.000 0.000 0.000 1
Re1 0.500 0.500 0.500 1
Tc1 0.000 0.500 0.500 1
```


[8]
A relaxed structure of Li2ReTc, computed with PBE-GGA.

Summary:
* total magnetization: 0.0000 μB per atom
* E above lowest polymorph: 96.4 meV/atom
* calculated formation energy: 290 meV/atom

```
data_Li2ReTc
_space_group_name_H-M_alt 'C 1 2/m 1'
_space_group_IT_number 12
_cell_length_a 5.053
_cell_length_b 9.307
_cell_length_c 2.533
_cell_angle_alpha 90.00
_cell_angle_beta 105.48
_cell_angle_gamma 90.00
loop_
_space_group_symop_operation_xyz
'x,y,z'
'-x,-y,-z'
'-x,y,-z'
'x,-y,z'
'x+1/2,y+1/2,z'
'-x+1/2,-y+1/2,-z'
'-x+1/2,y+1/2,-z'
'x+1/2,-y+1/2,z'
loop_
_atom_site_label
_atom_site_fract_x
_atom_site_fract_y
_atom_site_fract_z
_atom_site_occupancy
Li1 0.250 0.250 0.000 1
Re1 0.000 0.000 0.500 1
Tc1 0.000 0.500 0.500 1
```


[9]
A relaxed structure of Li2ReTc, computed with PBE-GGA.

Summary:
* total magnetization: 0.0000 μB per atom
* E above lowest polymorph: 670.2 meV/atom
* calculated formation energy: 864 meV/atom

```
data_Li2ReTc
_space_group_name_H-M_alt 'F m -3 m'
_space_group_IT_number 225
_space_group_name_Hall '-F 4 2 3'
_cell_length_a 5.837
_cell_length_b 5.837
_cell_length_c 5.837
_cell_angle_alpha 90.00
_cell_angle_beta 90.00
_cell_angle_gamma 90.00
loop_
_atom_site_label
_atom_site_fract_x
_atom_site_fract_y
_atom_site_fract_z
_atom_site_occupancy
Li1 0.250 0.250 0.250 1
Re1 0.000 0.000 0.000 1
Tc1 0.000 0.000 0.500 1
```


[10]
A relaxed structure of LiRe2Tc, computed with PBE-GGA.

Summary:
* total magnetization: 0.0000 μB per atom
* E above lowest polymorph: 88.3 meV/atom
* calculated formation energy: 260 meV/atom

```
data_LiRe2Tc
_space_group_name_H-M_alt 'C 1 2/m 1'
_space_group_IT_number 12
_cell_length_a 5.272
_cell_length_b 8.722
_cell_length_c 2.629
_cell_angle_alpha 90.00
_cell_angle_beta 108.99
_cell_angle_gamma 90.00
loop_
_space_group_symop_operation_xyz
'x,y,z'
'-x,-y,-z'
'-x,y,-z'
'x,-y,z'
'x+1/2,y+1/2,z'
'-x+1/2,-y+1/2,-z'
'-x+1/2,y+1/2,-z'
'x+1/2,-y+1/2,z'
loop_
_atom_site_label
_atom_site_fract_x
_atom_site_fract_y
_atom_site_fract_z
_atom_site_occupancy
Li1 0.000 0.000 0.000 1
Re1 0.250 0.250 0.500 1
Tc1 0.000 0.500 0.000 1
```


[11]
A relaxed structure of Li2ReTc, computed with PBE-GGA.

Summary:
* total magnetization: 0.0000 μB per atom
* E above lowest polymorph: 490.9 meV/atom
* calculated formation energy: 685 meV/atom

```
data_Li2ReTc
_space_group_name_H-M_alt 'P 4/m m m'
_space_group_IT_number 123
_space_group_name_Hall '-P 4 2'
_cell_length_a 4.594
_cell_length_b 4.594
_cell_length_c 2.456
_cell_angle_alpha 90.00
_cell_angle_beta 90.00
_cell_angle_gamma 90.00
loop_
_atom_site_label
_atom_site_fract_x
_atom_site_fract_y
_atom_site_fract_z
_atom_site_occupancy
Li1 0.000 0.500 0.000 1
Re1 0.000 0.000 0.500 1
Tc1 0.500 0.500 0.500 1
```


[12]
A relaxed structure of LiReTc, computed with PBE-GGA.

Summary:
* total magnetization: 0.0000 μB per atom
* E above lowest polymorph: 66.0 meV/atom
* calculated formation energy: 171 meV/atom

```
data_LiReTc
_space_group_name_H-M_alt 'P n m a'
_space_group_IT_number 62
_cell_length_a 5.047
_cell_length_b 4.348
_cell_length_c 7.696
_cell_angle_alpha 90.00
_cell_angle_beta 90.00
_cell_angle_gamma 90.00
loop_
_space_group_symop_operation_xyz
'x,y,z'
'-x,-y,-z'
'-x+1/2,-y,z+1/2'
'x+1/2,y,-z+1/2'
'x+1/2,-y+1/2,-z+1/2'
'-x+1/2,y+1/2,z+1/2'
'-x,y+1/2,-z'
'x,-y+1/2,z'
loop_
_atom_site_label
_atom_site_fract_x
_atom_site_fract_y
_atom_site_fract_z
_atom_site_occupancy
Li1 0.122 0.250 0.017 1
Re1 0.145 0.250 0.679 1
Tc1 0.117 0.250 0.359 1
```


no.,raw total energy (eV for the cell shown)
1,-72.1
2,-50.7
3,-36.5
4,-71.6
5,-25.5
6,-35.8
7,-37.8
8,-51.0
9,-92.7
10,-72.3
11,-23.9
12,-96.9